Record 1
The following is a GGA-PBE calculation of an optimized crystal structure of PmPaAsC, from Alexandria via LeMat-Bulk.

Properties
The formation energy comes out at -2.55 eV per formula unit. The space group is R-3m (166). As for the crystal system: trigonal.

Cell: 13.6855 13.6855 13.6855 Å, 17.01 17.01 17.01°
Last column: nearest neighbours and their distance in Å.
Positions (direct):
Pm 0.2084 0.2084 0.2084  3 As 2.84
Pm 0.7916 0.7916 0.7916  3 As 2.84
Pa 0.3683 0.3683 0.3683  4 C 2.31-2.39
Pa 0.6317 0.6317 0.6317  4 C 2.31-2.39
As 0.0849 0.0849 0.0849  3 Pm 2.84, 3 Pa 3.09
As 0.9151 0.9151 0.9151  3 Pm 2.84, 3 Pa 3.09
C 0.3112 0.3112 0.3112  4 Pa 2.31-2.39
C 0.6888 0.6888 0.6888  4 Pa 2.31-2.39



Record 2
The following is a GGA-PBE calculation of an optimized crystal structure of MgZnAs2, from Alexandria via LeMat-Bulk.

Properties
For the relative energy among the computed polymorphs, the calculation gives 82 meV per atom. The formation energy comes out at -0.07 eV per formula unit. The space group is I-4m2 (119). As for the crystal system: tetragonal.

Cell: 5.7674 5.7674 5.7674 Å, 141.02 141.02 56.30°
Last column: nearest neighbours and their distance in Å.
Positions (direct):
Mg 0.0000 0.0000 0.0000  4 As 2.72
Zn 0.2500 0.7500 0.5000  4 As 2.72
As 0.5000 0.5000 0.0000  4 Mg 2.72
As 0.7500 0.2500 0.5000  4 Zn 2.72



Record 3
The following is a GGA-PBE calculation of an optimized crystal structure of CoGePCl2, from Alexandria via LeMat-Bulk.

Properties
For the relative energy among the computed polymorphs, the calculation gives 0 meV per atom. The space group is P4/mmm (123). As for the crystal system: tetragonal.

Cell: 4.5855 4.5855 4.5427 Å, 90.00 90.00 90.00°
Last column: nearest neighbours and their distance in Å.
Positions (direct):
Co 0.0000 0.0000 0.0000  2 P 2.27, 4 Cl 2.29
Ge 0.5000 0.5000 0.5000  8 Cl 3.23, 4 P 3.24
P 0.0000 0.0000 0.5000  2 Co 2.27
Cl 0.0000 0.5000 0.0000  2 Co 2.29
Cl 0.5000 0.0000 0.0000  2 Co 2.29



Record 4
The following is a GGA-PBE calculation of an optimized crystal structure of CaMn2Ru, from Alexandria via LeMat-Bulk.

Properties
For the relative energy among the computed polymorphs, the calculation gives 343 meV per atom. The formation energy comes out at 2.65 eV per formula unit. The space group is R-3m (166). As for the crystal system: trigonal.

Cell: 9.4142 9.4142 9.4142 Å, 18.21 18.21 18.21°
Last column: nearest neighbours and their distance in Å.
Positions (direct):
Ca 0.0000 0.0000 0.0000  6 Ca 2.98, 6 Mn 3.19
Mn 0.2368 0.2368 0.2368  3 Ru 2.60
Mn 0.7632 0.7632 0.7632  3 Ru 2.60
Ru 0.5000 0.5000 0.5000  6 Mn 2.60



Record 5
The following is a GGA-PBE calculation of an optimized crystal structure of Mg2SbCl2, from Alexandria via LeMat-Bulk.

Properties
The space group is I4/mmm (139). For the energy, the calculation gives -2.7566 eV per atom. As for the crystal system: tetragonal.

Cell: 6.2509 6.2509 6.2509 Å, 135.09 135.09 65.40°
Last column: nearest neighbours and their distance in Å.
Positions (direct):
Mg 0.2500 0.7500 0.5000  4 Cl 2.58
Mg 0.7500 0.2500 0.5000  4 Cl 2.58
Sb 0.0000 0.0000 0.0000  8 Mg 3.55, 10 Cl 3.61-3.76
Cl 0.3428 0.3428 0.0000  4 Mg 2.58
Cl 0.6572 0.6572 0.0000  4 Mg 2.58



Record 6
The following is a GGA-PBE calculation of an optimized crystal structure of RbNiS, from Alexandria via LeMat-Bulk.

Properties
The space group is P-1 (2). For the energy, the calculation gives -4.2984 eV per atom. As for the crystal system: triclinic.

Cell: 3.9597 6.3820 6.5559 Å, 106.51 107.22 90.66°
Last column: nearest neighbours and their distance in Å.
Positions (direct):
Rb 0.0953 0.3073 0.1930  5 Ni 3.37-3.66, 5 S 3.49-3.62
Rb 0.9047 0.6927 0.8070  5 Ni 3.37-3.66, 5 S 3.49-3.62
Ni 0.2084 0.8912 0.4193  3 S 2.16-2.27
Ni 0.7916 0.1088 0.5807  3 S 2.16-2.27
S 0.3587 0.2027 0.7141  3 Ni 2.16-2.27
S 0.6413 0.7973 0.2859  3 Ni 2.16-2.27



Record 7
The following is a GGA-PBE calculation of an optimized crystal structure of SbAsAu2, from Alexandria via LeMat-Bulk.

Properties
For the relative energy among the computed polymorphs, the calculation gives 130 meV per atom. The space group is P4/mmm (123). As for the crystal system: tetragonal.

Cell: 3.8383 3.8383 5.6950 Å, 90.00 90.00 90.00°
Last column: nearest neighbours and their distance in Å.
Positions (direct):
Sb 0.0000 0.0000 0.0000  2 As 2.85, 8 Au 3.08
As 0.0000 0.0000 0.5000  2 Sb 2.85, 8 Au 3.05
Au 0.5000 0.5000 0.2551  2 Au 2.79-2.91, 4 As 3.05, 4 Sb 3.08
Au 0.5000 0.5000 0.7449  2 Au 2.79-2.91, 4 As 3.05, 4 Sb 3.08



Record 8
The following is a GGA-PBE calculation of an optimized crystal structure of Sr2TcTe, from Alexandria via LeMat-Bulk.

Properties
The space group is P4mm (99). For the energy, the calculation gives -4.0721 eV per atom. As for the crystal system: tetragonal.

Cell: 4.5973 4.5973 6.6976 Å, 90.00 90.00 90.00°
Last column: nearest neighbours and their distance in Å.
Positions (direct):
Sr 0.0000 0.0000 0.0000  4 Te 3.31, 2 Tc 3.33-3.37
Sr 0.5000 0.5000 0.4114  4 Tc 3.31, 2 Te 3.32-3.38
Tc 0.0000 0.0000 0.5031  6 Sr 3.31-3.37
Te 0.5000 0.5000 0.9067  6 Sr 3.31-3.38



Record 9
The following is a GGA-PBE calculation of an optimized crystal structure of TiNb6In2, from Alexandria via LeMat-Bulk.

Properties
The formation energy comes out at 0.07 eV per formula unit. The space group is C2/m (12). As for the crystal system: monoclinic.

Cell: 7.2564 7.2564 5.5767 Å, 110.61 110.61 38.66°
Last column: nearest neighbours and their distance in Å.
Positions (direct):
Ti 0.0000 0.0000 0.0000  10 Nb 2.90-3.20, 2 In 2.95
Nb 0.2306 0.2306 0.1337  6 Nb 2.80-2.99, 1 Ti 2.96, 1 In 2.97
Nb 0.3482 0.3482 0.7052  4 Nb 2.65-2.91, 3 In 2.94-2.95
Nb 0.4451 0.4451 0.2144  3 Nb 2.65-2.80, 2 Ti 2.90
Nb 0.5549 0.5549 0.7856  3 Nb 2.65-2.80, 2 Ti 2.90
Nb 0.6518 0.6518 0.2948  4 Nb 2.65-2.91, 3 In 2.94-2.95
Nb 0.7694 0.7694 0.8663  6 Nb 2.80-2.99, 1 Ti 2.96, 1 In 2.97
In 0.1188 0.1188 0.5628  9 Nb 2.94-3.29, 1 Ti 2.95, 1 In 3.06
In 0.8812 0.8812 0.4372  9 Nb 2.94-3.29, 1 Ti 2.95, 1 In 3.06



Record 10
The following is a GGA-PBE calculation of an optimized crystal structure of Ti3P3Pt, from Alexandria via LeMat-Bulk.

Properties
The formation energy comes out at -7.11 eV per formula unit. The space group is Pnma (62). As for the crystal system: orthorhombic.

Cell: 10.8885 3.5263 11.1930 Å, 90.00 90.00 90.00°
Last column: nearest neighbours and their distance in Å.
Positions (direct):
Ti 0.0546 0.2500 0.1259  6 P 2.52-2.58
Ti 0.1724 0.7500 0.4983  5 P 2.54-2.57
Ti 0.2135 0.7500 0.7812  5 P 2.36-2.56
Ti 0.2865 0.2500 0.2812  5 P 2.36-2.56
Ti 0.3276 0.2500 0.9983  5 P 2.54-2.57
Ti 0.4454 0.7500 0.6259  6 P 2.52-2.58
Ti 0.5546 0.2500 0.3741  6 P 2.52-2.58
Ti 0.6724 0.7500 0.0017  5 P 2.54-2.57
Ti 0.7135 0.7500 0.7188  5 P 2.36-2.56
Ti 0.7865 0.2500 0.2188  5 P 2.36-2.56
Ti 0.8276 0.2500 0.5017  5 P 2.54-2.57
Ti 0.9454 0.7500 0.8741  6 P 2.52-2.58
P 0.0830 0.2500 0.3551  2 Pt 2.33, 4 Ti 2.36-2.58
P 0.1128 0.2500 0.9079  6 Ti 2.51-2.56, 1 Pt 2.76
P 0.2243 0.7500 0.1274  1 Pt 2.44, 6 Ti 2.54-2.56
P 0.2757 0.2500 0.6274  1 Pt 2.44, 6 Ti 2.54-2.56
P 0.3872 0.7500 0.4079  6 Ti 2.51-2.56, 1 Pt 2.76
P 0.4170 0.7500 0.8551  2 Pt 2.33, 4 Ti 2.36-2.58
P 0.5830 0.2500 0.1449  2 Pt 2.33, 4 Ti 2.36-2.58
P 0.6128 0.2500 0.5921  6 Ti 2.51-2.56, 1 Pt 2.76
P 0.7243 0.7500 0.3726  1 Pt 2.44, 6 Ti 2.54-2.56
P 0.7757 0.2500 0.8726  1 Pt 2.44, 6 Ti 2.54-2.56
P 0.8872 0.7500 0.0921  6 Ti 2.51-2.56, 1 Pt 2.76
P 0.9170 0.7500 0.6449  2 Pt 2.33, 4 Ti 2.36-2.58
Pt 0.0551 0.2500 0.6677  3 P 2.33-2.44
Pt 0.4449 0.7500 0.1677  3 P 2.33-2.44
Pt 0.5551 0.2500 0.8323  3 P 2.33-2.44
Pt 0.9449 0.7500 0.3323  3 P 2.33-2.44